A relaxed structure of AlRu2WF, computed with GGA+U.

Calculated values
symmetry = P4/mmm (123)
crystal system = tetragonal
size of the total moment = 2.2 μB/cell
total energy = -0.2034 hartree per atom

Cell lengths 4.378, 4.073, 4.378 Å; angles 90.00, 90.00, 90.00 degrees
Site moments in Bohr magnetons follow the coordinates.
Fractional positions:
Ru 0.000 0.000 0.500  -0.18
Al 0.500 0.500 0.500  -0.04
W 0.000 0.500 0.000  2.37
Ru 0.500 0.000 0.000  -0.20
F 0.000 0.000 0.000  0.05